# FeNi2IO6 (GGA+U, optimized geometry)
data_FeNi2IO6
_cell_length_a 5.259
_cell_length_b 5.258
_cell_length_c 5.612
_cell_angle_alpha 62.05
_cell_angle_beta 62.07
_cell_angle_gamma 59.99
_symmetry_space_group_name_H-M 'P 1'
_symmetry_Int_Tables_number 1
loop_
_symmetry_equiv_pos_as_xyz
'x,y,z'
loop_
_atom_site_label
_atom_site_type_symbol
_atom_site_fract_x
_atom_site_fract_y
_atom_site_fract_z
Fe1 Fe 0.813 0.814 0.559
Ni1 Ni 0.519 0.519 0.442
Ni2 Ni 0.018 0.018 0.946
I1 I 0.316 0.316 0.053
O1 O 0.619 0.213 0.255
O2 O 0.213 0.913 0.255
O3 O 0.914 0.618 0.255
O4 O 0.424 0.719 0.750
O5 O 0.718 0.107 0.750
O6 O 0.107 0.424 0.750
# * total energy: -5.0427 eV per atom